The following is a DFT calculation (PBE) of a relaxed structure of KBa3Sr.

Total magnetic moment: 0.0 μB per cell
Energy relative to the elements: 1.0 eV/f.u.

Unit cell a=7.816 b=8.350 c=11.322 alpha=68.36 beta=90.00 gamma=89.99
Atoms (fractional coordinates):
K (0.750, 0.175, 0.651)
K (0.250, 0.825, 0.349)
Ba (0.750, 0.595, 0.304)
Ba (0.750, 0.101, 0.304)
Ba (0.250, 0.899, 0.696)
Ba (0.250, 0.405, 0.696)
Ba (0.000, 0.000, 0.000)
Ba (0.500, 0.000, 0.000)
Sr (0.750, 0.553, 0.894)
Sr (0.250, 0.447, 0.106)

The following is a DFT calculation (PBE) of a relaxed structure of Ho4TlCd3.

Total magnetic moment: 0.0 μB per cell
Energy relative to the elements: -2.2 eV/f.u.

Unit cell a=3.666 b=4.874 c=11.978 alpha=90.00 beta=90.00 gamma=90.00
Atoms (fractional coordinates):
Ho (0.500, 0.500, 0.343)
Ho (0.000, 0.500, 0.838)
Ho (0.000, 0.000, 0.161)
Ho (0.500, 0.000, 0.659)
Tl (0.500, 0.500, 0.078)
Cd (0.000, 0.500, 0.574)
Cd (0.000, 0.000, 0.426)
Cd (0.500, 0.000, 0.922)

The following is a DFT calculation (PBE) of a relaxed structure of ErAsAu4.

Total magnetic moment: 0.0 μB per cell
Energy relative to the elements: -2.1 eV/f.u.

Unit cell a=5.570 b=5.570 c=5.570 alpha=60.00 beta=60.00 gamma=60.00
Atoms (fractional coordinates):
As (0.000, 0.000, 0.000)
Au (0.625, 0.625, 0.125)
Au (0.625, 0.125, 0.625)
Au (0.625, 0.625, 0.625)
Au (0.125, 0.625, 0.625)
Er (0.250, 0.250, 0.250)

The following is a DFT calculation (PBE) of a relaxed structure of Th4GaSb.

Total magnetic moment: 0.0 μB per cell
Formation energy from raw total energies: -0.141 eV/atom

Unit cell a=5.601 b=7.704 c=9.947 alpha=114.53 beta=106.35 gamma=90.00
Atoms (fractional coordinates):
Th (0.667, 0.030, 0.841)
Th (0.825, 0.470, 0.159)
Th (0.333, 0.970, 0.159)
Th (0.175, 0.530, 0.841)
Th (0.062, 0.923, 0.633)
Th (0.429, 0.577, 0.367)
Th (0.938, 0.077, 0.367)
Th (0.571, 0.423, 0.633)
Ga (0.500, 0.000, 0.500)
Ga (0.000, 0.500, 0.500)
Sb (0.755, 0.750, 0.000)
Sb (0.245, 0.250, 0.000)

The following is a DFT calculation (PBE) of a relaxed structure of SrCuSb.

Total magnetic moment: 0.0 μB per cell
Formation energy from raw total energies: -0.571 eV/atom

Unit cell a=5.900 b=4.319 c=6.813 alpha=108.55 beta=81.58 gamma=89.88
Atoms (fractional coordinates):
Sr (0.662, 0.075, 0.378)
Sr (0.268, 0.863, 0.946)
Cu (0.077, 0.194, 0.612)
Cu (0.852, 0.745, 0.712)
Sb (0.730, 0.355, 0.931)
Sb (0.199, 0.584, 0.393)

The following is a DFT calculation (PBE) of a relaxed structure of CsBa2Hg6.

Total magnetic moment: 0.0 μB per cell
Energy relative to the elements: -3.5 eV/f.u.

Unit cell a=4.411 b=9.195 c=9.195 alpha=120.00 beta=90.00 gamma=90.00
Atoms (fractional coordinates):
Cs (0.000, 0.000, 0.000)
Ba (0.000, 0.333, 0.667)
Ba (0.000, 0.667, 0.333)
Hg (0.500, 0.336, 0.336)
Hg (0.500, 0.664, 0.664)
Hg (0.500, 0.000, 0.664)
Hg (0.500, 0.664, 0.000)
Hg (0.500, 0.336, 0.000)
Hg (0.500, 0.000, 0.336)

The following is a DFT calculation (PBE) of a relaxed structure of BaTc2BiAu.

Total magnetic moment: 4.5 μB per cell
Energy relative to the elements: 7.1 eV/f.u.

Unit cell a=5.134 b=6.742 c=5.134 alpha=90.00 beta=90.00 gamma=90.00
Site moments in Bohr magnetons follow the coordinates.
Atoms (fractional coordinates):
Tc (0.000, 0.000, 0.500)  1.93
Tc (0.500, 0.000, 0.000)  1.97
Au (0.500, 0.500, 0.500)  0.08
Bi (0.000, 0.000, 0.000)  -0.11
Ba (0.000, 0.500, 0.000)  -0.01

The following is a DFT calculation (PBE) of a relaxed structure of PrNdSn.

Total magnetic moment: 0.0 μB per cell
Energy relative to the elements: -1.1 eV/f.u.

Unit cell a=3.985 b=5.244 c=5.244 alpha=120.00 beta=90.00 gamma=90.00
Atoms (fractional coordinates):
Pr (0.378, 0.333, 0.667)
Nd (0.946, 0.000, 0.000)
Sn (0.676, 0.667, 0.333)

The following is a DFT calculation (PBE) of a relaxed structure of VHg2I4.

Total magnetic moment: 1.4 μB per cell
Formation energy from raw total energies: -0.096 eV/atom

Unit cell a=5.563 b=5.563 c=9.404 alpha=72.80 beta=72.80 gamma=90.00
Site moments in Bohr magnetons follow the coordinates.
Atoms (fractional coordinates):
I (0.842, 0.842, 0.315)  -0.08
I (0.158, 0.158, 0.685)  -0.08
I (0.000, 0.500, 0.000)  -0.07
I (0.500, 0.000, 0.000)  -0.07
Hg (0.638, 0.638, 0.725)  -0.09
Hg (0.362, 0.362, 0.275)  -0.09
V (0.000, 0.000, 0.000)  1.84

The following is a DFT calculation (PBE) of a relaxed structure of HfTlN2F.

Total magnetic moment: 0.0 μB per cell
Formation energy from raw total energies: 0.780 eV/atom

Unit cell a=4.257 b=4.257 c=4.183 alpha=90.00 beta=90.00 gamma=90.00
Atoms (fractional coordinates):
Tl (0.000, 0.000, 0.000)
N (0.000, 0.500, 0.000)
N (0.500, 0.000, 0.000)
Hf (0.500, 0.500, 0.500)
F (0.000, 0.000, 0.500)

The following is a DFT calculation (PBE) of a relaxed structure of ReSb2TeRu.

Total magnetic moment: 0.7 μB per cell
Formation energy from raw total energies: 1.361 eV/atom

Unit cell a=5.102 b=5.102 c=5.178 alpha=90.00 beta=90.00 gamma=90.00
Site moments in Bohr magnetons follow the coordinates.
Atoms (fractional coordinates):
Re (0.000, 0.000, 0.000)  -0.32
Te (0.000, 0.000, 0.500)  -0.08
Ru (0.500, 0.500, 0.500)  1.31
Sb (0.000, 0.500, 0.000)  -0.06
Sb (0.500, 0.000, 0.000)  -0.06

The following is a DFT calculation (PBE) of a relaxed structure of NdHPb.

Total magnetic moment: 0.0 μB per cell

Unit cell a=5.300 b=3.829 c=3.829 alpha=120.00 beta=90.00 gamma=90.00
Atoms (fractional coordinates):
Pb (0.667, 0.667, 0.333)
H (0.166, 0.333, 0.667)
Nd (0.167, 0.000, 0.000)

The following is a DFT calculation (PBE) of a relaxed structure of NdTiOs4.

Total magnetic moment: 0.0 μB per cell
Energy relative to the elements: -0.1 eV/f.u.

Unit cell a=5.298 b=5.298 c=5.298 alpha=60.00 beta=60.00 gamma=60.00
Atoms (fractional coordinates):
Nd (0.250, 0.250, 0.250)
Os (0.626, 0.626, 0.123)
Os (0.626, 0.123, 0.626)
Os (0.626, 0.626, 0.626)
Os (0.123, 0.626, 0.626)
Ti (0.000, 0.000, 0.000)

The following is a DFT calculation (PBE) of a relaxed structure of NbFeIrRu.

Total magnetic moment: 1.6 μB per cell
Energy relative to the elements: -1.1 eV/f.u.

Unit cell a=3.778 b=3.875 c=3.938 alpha=90.00 beta=90.00 gamma=90.00
Site moments in Bohr magnetons follow the coordinates.
Atoms (fractional coordinates):
Nb (0.500, 0.500, 0.000)  -0.21
Fe (0.500, 0.000, 0.500)  1.88
Ir (0.000, 0.500, 0.500)  -0.06
Ru (0.000, 0.000, 0.000)  -0.02

The following is a DFT calculation (PBE) of a relaxed structure of Cr2SbAs.

Total magnetic moment: 7.3 μB per cell
Formation energy from raw total energies: 0.704 eV/atom

Unit cell a=4.767 b=4.767 c=4.767 alpha=60.00 beta=60.00 gamma=60.00
Site moments in Bohr magnetons follow the coordinates.
Atoms (fractional coordinates):
As (0.500, 0.500, 0.500)  -0.09
Cr (0.000, 0.000, 0.000)  3.42
Cr (0.250, 0.250, 0.250)  3.51
Sb (0.750, 0.750, 0.750)  -0.12

The following is a DFT calculation (PBE) of a relaxed structure of Nd2Cd3Hg4.

Total magnetic moment: 0.0 μB per cell
Energy relative to the elements: -3.0 eV/f.u.

Unit cell a=5.134 b=5.137 c=9.795 alpha=89.85 beta=89.98 gamma=60.02
Atoms (fractional coordinates):
Nd (0.333, 0.335, 0.784)
Nd (0.667, 0.665, 0.216)
Cd (0.334, 0.332, 0.433)
Cd (0.000, 0.000, 0.000)
Cd (0.666, 0.668, 0.567)
Hg (0.666, 0.668, 0.894)
Hg (0.001, 0.998, 0.343)
Hg (0.999, 0.002, 0.657)
Hg (0.334, 0.332, 0.106)

The following is a DFT calculation (PBE) of a relaxed structure of BaMn4Tc.

Total magnetic moment: 7.9 μB per cell
Energy relative to the elements: 5.4 eV/f.u.

Unit cell a=5.135 b=5.135 c=5.135 alpha=60.00 beta=60.00 gamma=60.00
Site moments in Bohr magnetons follow the coordinates.
Atoms (fractional coordinates):
Ba (0.000, 0.000, 0.000)  0.00
Mn (0.870, 0.377, 0.377)  2.21
Mn (0.377, 0.377, 0.870)  2.21
Mn (0.377, 0.870, 0.377)  2.21
Mn (0.377, 0.377, 0.377)  2.21
Tc (0.750, 0.750, 0.750)  -1.18

The following is a DFT calculation (PBE) of a relaxed structure of Ti2Cu3Pd8.

Total magnetic moment: 0.0 μB per cell
Energy relative to the elements: -2.7 eV/f.u.

Unit cell a=5.180 b=6.934 c=6.649 alpha=121.43 beta=95.17 gamma=90.00
Atoms (fractional coordinates):
Ti (0.270, 0.207, 0.415)
Ti (0.730, 0.793, 0.585)
Cu (0.500, 0.000, 0.000)
Cu (0.000, 0.172, 0.000)
Cu (0.000, 0.828, 0.000)
Pd (0.894, 0.601, 0.202)
Pd (0.106, 0.399, 0.798)
Pd (0.792, 0.191, 0.382)
Pd (0.208, 0.809, 0.618)
Pd (0.576, 0.575, 0.762)
Pd (0.576, 0.187, 0.762)
Pd (0.424, 0.813, 0.238)
Pd (0.424, 0.425, 0.238)

The following is a DFT calculation (PBE) of a relaxed structure of HfSc4Sb5.

Total magnetic moment: 0.0 μB per cell
Formation energy from raw total energies: -0.837 eV/atom

Unit cell a=4.142 b=5.861 c=10.996 alpha=105.46 beta=100.86 gamma=90.00
Atoms (fractional coordinates):
Hf (0.000, 0.000, 0.000)
Sc (0.399, 0.399, 0.799)
Sc (0.801, 0.801, 0.601)
Sc (0.199, 0.199, 0.399)
Sc (0.601, 0.601, 0.201)
Sb (0.599, 0.099, 0.198)
Sb (0.800, 0.300, 0.600)
Sb (0.200, 0.700, 0.400)
Sb (0.000, 0.500, 0.000)
Sb (0.401, 0.901, 0.802)

The following is a DFT calculation (PBE) of a relaxed structure of LiCeGe3.

Total magnetic moment: 1.1 μB per cell
Energy relative to the elements: -2.2 eV/f.u.

Unit cell a=4.131 b=3.987 c=12.861 alpha=90.00 beta=99.24 gamma=90.00
Site moments in Bohr magnetons follow the coordinates.
Atoms (fractional coordinates):
Li (0.203, 0.750, 0.406)  0.00
Li (0.797, 0.250, 0.594)  0.00
Ce (0.922, 0.750, 0.845)  0.47
Ce (0.078, 0.250, 0.155)  0.47
Ge (0.632, 0.750, 0.263)  -0.01
Ge (0.368, 0.250, 0.737)  -0.01
Ge (0.530, 0.750, 0.060)  0.00
Ge (0.470, 0.250, 0.940)  0.00
Ge (0.691, 0.250, 0.382)  0.00
Ge (0.309, 0.750, 0.618)  0.00

Energy values (in eV per cell) by entry order: -15.00; -25.58; -24.41; -75.35; -23.23; -10.04; -22.67; -14.68; -16.60; -26.94; -26.30; -13.37; -57.63; -37.72; -25.20; -16.50; -43.58; -72.29; -64.26; -47.78.